Entry 1:
DFT (PBE-GGA) results for an optimized crystal structure of YTmCdTc.

It has space group F-43m (No. 216), with a = 7.095 Å, b = 7.095 Å, c = 7.095 Å, α = 90.00°, β = 90.00° and γ = 90.00°. The inequivalent atoms are Y at (0.000, 0.000, 0.000), Tm at (0.000, 0.000, 0.500), Cd at (0.250, 0.250, 0.750) and Tc at (0.250, 0.250, 0.250).

The value obtained for the total magnetic moment is 0.00 μB per atom. The value obtained for the energy relative to the elements is -0.1092 eV per atom.

Entry 2:
DFT (PBE-GGA) results for an optimized crystal structure of NiPdCl5.

It has space group C2/c (No. 15), with a = 9.383 Å, b = 8.183 Å, c = 9.302 Å, α = 90.00°, β = 111.69° and γ = 90.00°. The inequivalent atoms are Ni at (0.000, 0.054, 0.250), Pd at (0.250, 0.250, 0.000), Cl at (0.000, 0.234, 0.750), Cl at (0.100, 0.270, 0.154) and Cl at (0.214, 0.034, 0.476).

The formation energy without anion corrections is -288 kJ/mol of formula units. The value obtained for the total magnetic moment is 0.28 μB per atom.

Entry 3:
DFT (PBE-GGA) results for an optimized crystal structure of PmCo12Si6.

It has space group R-3m (No. 166, hexagonal axes), with a = 10.3520 Å, b = 10.3520 Å, c = 7.7721 Å, α = 90.00°, β = 90.00° and γ = 120.00°. The inequivalent atoms are Pm at (0.0000, 0.0000, 0.0000), Co at (0.0000, 0.3698, 0.5000), Co at (0.0873, 0.1745, 0.3541) and Si at (0.0352, 0.5176, 0.2760).

The formation energy without anion corrections is -689 kJ/mol of formula units. The value obtained for the total magnetic moment is 0.31 μB per atom.

Entry 4:
DFT (PBE-GGA) results for an optimized crystal structure of Be3PRh.

It has space group Pm-3m (No. 221), with a = 3.994 Å, b = 3.994 Å, c = 3.994 Å, α = 90.00°, β = 90.00° and γ = 90.00°. The inequivalent atoms are Be at (0.000, 0.000, 0.500), P at (0.000, 0.000, 0.000) and Rh at (0.500, 0.500, 0.500).

The value obtained for the total magnetic moment is 0.00 μB per atom. The value obtained for the energy relative to the elements is 0.5738 eV per atom.

Entry 5:
DFT (PBE-GGA) results for an optimized crystal structure of Ti2MnI.

It has space group Fm-3m (No. 225), with a = 6.443 Å, b = 6.443 Å, c = 6.443 Å, α = 90.00°, β = 90.00° and γ = 90.00°. The inequivalent atoms are Ti at (0.250, 0.250, 0.250), Mn at (0.000, 0.000, 0.000) and I at (0.000, 0.000, 0.500).

The formation energy without anion corrections is 213 kJ/mol of formula units. The value obtained for the total magnetic moment is 0.00 μB per atom.

Entry 6:
DFT (PBE-GGA) results for an optimized crystal structure of YBePt3.

It has space group C2/m (No. 12), with a = 13.150 Å, b = 3.662 Å, c = 8.966 Å, α = 90.00°, β = 129.21° and γ = 90.00°. The inequivalent atoms are Y at (0.146, 0.000, 0.269), Be at (0.241, 0.000, 0.062), Pt at (0.075, 0.500, 0.441), Pt at (0.090, 0.500, 0.955) and Pt at (0.140, 0.000, 0.728).

The value obtained for the total magnetic moment is 0.00 μB per atom. The value obtained for the energy relative to the elements is -0.8162 eV per atom.

> Among the records above, which one has the highest total magnetic moment?

PmCo12Si6

> Which of these has the highest total magnetic moment?

PmCo12Si6

> Look up the total magnetic moment of the sixth one.

0.00 μB per atom

> Look up the total magnetic moment of the third one.

0.31 μB per atom